{"formula": "Zn2CrAg", "functional": "PBE-GGA", "state": "relaxed", "total_energy_ev_per_atom": -3.59, "space_group": "P4/mmm (123)", "cell": [[-2.539, 1.559, 2.704], [-3.117, -1.227, -2.219], [-0.034, -3.361, 1.906]], "species": ["Zn", "Ag", "Cr", "Zn"], "frac_coords": [[0.500, 0.500, 0.000], [0.500, 0.000, 0.500], [0.000, 0.500, 0.500], [0.000, 0.000, 0.000]]}


{"formula": "K6CdO", "functional": "PBE-GGA", "state": "relaxed", "total_energy_ev_per_atom": -1.95, "space_group": "C2/c (15)", "cell": [[-3.330, 0.298, -6.689], [1.156, -7.240, 3.282], [-12.158, 4.419, 6.249]], "species": ["K", "O", "K", "K", "Cd", "K", "K", "Cd", "O", "K", "K", "K", "K", "K", "K", "K"], "frac_coords": [[0.677, 0.294, 0.026], [0.000, 0.500, 0.500], [0.013, 0.824, 0.607], [0.189, 0.176, 0.893], [0.613, 0.000, 0.750], [0.987, 0.176, 0.393], [0.673, 0.556, 0.842], [0.387, 0.000, 0.250], [0.500, 0.500, 0.000], [0.384, 0.706, 0.474], [0.327, 0.444, 0.158], [0.117, 0.444, 0.658], [0.323, 0.706, 0.974], [0.811, 0.824, 0.107], [0.616, 0.294, 0.526], [0.883, 0.556, 0.342]]}


{"formula": "MnTcMo2", "functional": "PBE-GGA", "state": "relaxed", "total_energy_ev_per_atom": -10.21, "space_group": "F-43m (216)", "e_above_lowest_polymorph_ev_per_fu": 0.10, "cell": [[-2.844, -2.572, -2.102], [0.467, -4.346, 0.136], [-2.837, -2.434, 2.269]], "species": ["Mo", "Mn", "Tc", "Mo"], "frac_coords": [[0.000, 0.000, 0.000], [0.500, 0.500, 0.500], [0.750, 0.750, 0.750], [0.250, 0.250, 0.250]]}